First-principles (PBE) data for an optimized crystal structure of LaAg12Te7, as listed in Alexandria.

a = 8.6403 Å, b = 8.6403 Å, c = 8.6403 Å
α = 110.57°, β = 110.57°, γ = 110.57°
Closest atoms and distances in Å follow each position.
Atoms (fractional coordinates):
1 La 0.0000 0.0000 0.0000  6 Te 3.30, 6 Ag 3.52
2 Ag 0.0308 0.5869 0.8082  4 Te 2.92-3.10, 3 Ag 2.96-3.01
3 Ag 0.1918 0.9692 0.4131  4 Te 2.92-3.10, 3 Ag 2.96-3.01
4 Ag 0.2598 0.6295 0.6183  5 Ag 2.96-3.01, 4 Te 2.97-3.11
5 Ag 0.3705 0.3817 0.7402  5 Ag 2.96-3.01, 4 Te 2.97-3.11
6 Ag 0.3817 0.7402 0.3705  5 Ag 2.96-3.01, 4 Te 2.97-3.11
7 Ag 0.4131 0.1918 0.9692  4 Te 2.92-3.10, 3 Ag 2.96-3.01
8 Ag 0.5869 0.8082 0.0308  4 Te 2.92-3.10, 3 Ag 2.96-3.01
9 Ag 0.6183 0.2598 0.6295  5 Ag 2.96-3.01, 4 Te 2.97-3.11
10 Ag 0.6295 0.6183 0.2598  5 Ag 2.96-3.01, 4 Te 2.97-3.11
11 Ag 0.7402 0.3705 0.3817  5 Ag 2.96-3.01, 4 Te 2.97-3.11
12 Ag 0.8082 0.0308 0.5869  4 Te 2.92-3.10, 3 Ag 2.96-3.01
13 Ag 0.9692 0.4131 0.1918  4 Te 2.92-3.10, 3 Ag 2.96-3.01
14 Te 0.0352 0.8230 0.6163  7 Ag 2.92-3.11
15 Te 0.1770 0.3837 0.9648  7 Ag 2.92-3.11
16 Te 0.3837 0.9648 0.1770  7 Ag 2.92-3.11
17 Te 0.5000 0.5000 0.5000  6 Ag 2.99
18 Te 0.6163 0.0352 0.8230  7 Ag 2.92-3.11
19 Te 0.8230 0.6163 0.0352  7 Ag 2.92-3.11
20 Te 0.9648 0.1770 0.3837  7 Ag 2.92-3.11

Calculated values
Its total energy is -63.43 eV for the cell shown. The calculation puts the formation energy without anion corrections at -0.12 eV/atom. As for the density of states at the Fermi level: 5.5 states/eV per cell. Its crystal system is trigonal. The value obtained for the total magnetization is 0.00 μB/cell.

First-principles (PBE) data for an optimized crystal structure of LaAg8Te6, as listed in Alexandria.

a = 8.9168 Å, b = 8.9168 Å, c = 8.9168 Å
α = 52.35°, β = 52.35°, γ = 52.35°
Closest atoms and distances in Å follow each position.
Atoms (fractional coordinates):
1 La 0.0000 0.0000 0.0000  6 Te 3.24
2 Ag 0.1196 0.6325 0.8361  3 Te 2.83-2.89, 2 Ag 2.96-3.03
3 Ag 0.1639 0.8804 0.3675  3 Te 2.83-2.89, 2 Ag 2.96-3.03
4 Ag 0.3675 0.1639 0.8804  3 Te 2.83-2.89, 2 Ag 2.96-3.03
5 Ag 0.4337 0.4337 0.4337  3 Te 2.82, 4 Ag 3.03-3.05
6 Ag 0.5663 0.5663 0.5663  3 Te 2.82, 4 Ag 3.03-3.05
7 Ag 0.6325 0.8361 0.1196  3 Te 2.83-2.89, 2 Ag 2.96-3.03
8 Ag 0.8361 0.1196 0.6325  3 Te 2.83-2.89, 2 Ag 2.96-3.03
9 Ag 0.8804 0.3675 0.1639  3 Te 2.83-2.89, 2 Ag 2.96-3.03
10 Te 0.0426 0.4387 0.7386  4 Ag 2.82-2.89
11 Te 0.2614 0.9574 0.5613  4 Ag 2.82-2.89
12 Te 0.4387 0.7386 0.0426  4 Ag 2.82-2.89
13 Te 0.5613 0.2614 0.9574  4 Ag 2.82-2.89
14 Te 0.7386 0.0426 0.4387  4 Ag 2.82-2.89
15 Te 0.9574 0.5613 0.2614  4 Ag 2.82-2.89

Calculated values
Its total energy is -51.15 eV for the cell shown. The calculation puts the formation energy without anion corrections at -0.30 eV/atom. As for the density of states at the Fermi level: 6.3 states/eV per cell. Its crystal system is trigonal. The value obtained for the total magnetization is 0.00 μB/cell.

First-principles (PBE) data for an optimized crystal structure of La2AgTe4, as listed in Alexandria.

a = 7.9395 Å, b = 6.3482 Å, c = 9.1609 Å
α = 90.00°, β = 106.64°, γ = 90.00°
Closest atoms and distances in Å follow each position.
Atoms (fractional coordinates):
1 La 0.2267 0.2500 0.4313  8 Te 3.32-3.54, 1 Ag 3.40
2 La 0.2490 0.2500 0.9365  8 Te 3.20-3.47
3 La 0.7510 0.7500 0.0635  8 Te 3.20-3.47
4 La 0.7733 0.7500 0.5687  8 Te 3.32-3.54, 1 Ag 3.40
5 Ag 0.2202 0.7500 0.6785  4 Te 2.71-2.82
6 Ag 0.7798 0.2500 0.3215  4 Te 2.71-2.82
7 Te 0.0670 0.7500 0.3731  1 Ag 2.71
8 Te 0.0722 0.7500 0.9110  1 Ag 2.71
9 Te 0.4777 0.5086 0.2487  1 Ag 2.82, 1 Te 3.06
10 Te 0.4777 0.9914 0.2487  1 Ag 2.82, 1 Te 3.06
11 Te 0.5223 0.0086 0.7513  1 Ag 2.82, 1 Te 3.06
12 Te 0.5223 0.4914 0.7513  1 Ag 2.82, 1 Te 3.06
13 Te 0.9278 0.2500 0.0890  1 Ag 2.71
14 Te 0.9330 0.2500 0.6269  1 Ag 2.71

Calculated values
Its total energy is -66.56 eV for the cell shown. For the offset from the most stable computed form, the calculation gives 0.0 meV per atom. The calculation puts the formation energy without anion corrections at -1.14 eV/atom. As for the density of states at the Fermi level: 1.5 states/eV per cell. Its crystal system is monoclinic. The value obtained for the total magnetization is 0.00 μB/cell.